# 1
DFT (GGA-PBE) results for a geometry-optimized LiGd2Pb structure.

a b c (Å): 4.927 4.927 4.416
angles (deg): 90.00 90.00 90.00
Space group P4/mmm (No. 123)
Unique sites:
Li: 0.000 0.000 0.000 (multiplicity 1)
Gd: 0.000 0.500 0.500 (multiplicity 2)
Pb: 0.500 0.500 0.000 (multiplicity 1)

Output
V = 107 Å³ per cell
total DFT energy (no corrections) = -8.7837 eV/atom
mass density = 8.19 g/cm3

# 2
DFT (GGA-PBE) results for a geometry-optimized SrPb2Cl2 structure.

a b c (Å): 5.096 5.096 12.972
angles (deg): 90.00 90.00 90.00
Space group I4/mmm (No. 139)
Unique sites:
Sr: 0.000 0.000 0.000 (multiplicity 2)
Pb: 0.000 0.000 0.389 (multiplicity 4)
Cl: 0.000 0.500 0.250 (multiplicity 4)

Output
V = 337 Å³ per cell
mass density = 5.65 g/cm3
formation energy without anion corrections = -0.53 eV/atom

# 3
DFT (GGA-PBE) results for a geometry-optimized BaCaRe2 structure.

a b c (Å): 3.960 3.960 6.924
angles (deg): 90.00 90.00 90.00
Space group P4/mmm (No. 123)
Unique sites:
Ba: 0.000 0.000 0.000 (multiplicity 1)
Ca: 0.000 0.000 0.500 (multiplicity 1)
Re: 0.500 0.500 0.337 (multiplicity 2)

Output
V = 109 Å³ per cell
total DFT energy (no corrections) = -6.1063 eV/atom
mass density = 8.41 g/cm3

# 4
DFT (GGA-PBE) results for a geometry-optimized K3TlCd4 structure.

a b c (Å): 6.267 7.833 11.692
angles (deg): 90.00 90.00 90.00
Space group Imm2 (No. 44)
Unique sites:
K: 0.000 0.000 0.000 (multiplicity 2)
K: 0.000 0.244 0.665 (multiplicity 4)
Tl: 0.000 0.500 0.123 (multiplicity 2)
Cd: 0.000 0.310 0.349 (multiplicity 4)
Cd: 0.245 0.500 0.901 (multiplicity 4)

Output
V = 574 Å³ per cell
total DFT energy (no corrections) = -1.2203 eV/atom
mass density = 4.46 g/cm3

# 5
DFT (GGA-PBE) results for a geometry-optimized Co3PPt structure.

a b c (Å): 4.588 4.588 4.588
angles (deg): 90.00 90.00 90.00
Space group Pm-3m (No. 221)
Unique sites:
Co: 0.000 0.000 0.500 (multiplicity 3)
P: 0.500 0.500 0.500 (multiplicity 1)
Pt: 0.000 0.000 0.000 (multiplicity 1)

Output
V = 97 Å³ per cell
total DFT energy (no corrections) = -5.1167 eV/atom
mass density = 6.93 g/cm3

# 6
DFT (GGA-PBE) results for a geometry-optimized Ce4PuPtAu structure.

a b c (Å): 6.552 6.372 8.479
angles (deg): 90.00 98.24 90.00
Space group P2_1/m (No. 11)
Unique sites:
Ce: 0.021 0.018 0.256 (multiplicity 4)
Ce: 0.382 0.250 0.618 (multiplicity 2)
Ce: 0.479 0.250 0.210 (multiplicity 2)
Pu: 0.248 0.250 0.900 (multiplicity 2)
Pt: 0.235 0.750 0.518 (multiplicity 2)
Au: 0.273 0.750 0.052 (multiplicity 2)

Output
V = 350 Å³ per cell
total DFT energy (no corrections) = -7.1538 eV/atom
mass density = 11.34 g/cm3

# 7
DFT (GGA-PBE) results for a geometry-optimized LaFeBiCl2 structure.

a b c (Å): 5.342 5.342 6.136
angles (deg): 90.00 90.00 90.00
Space group P4/mmm (No. 123)
Unique sites:
La: 0.000 0.000 0.000 (multiplicity 1)
Fe: 0.000 0.000 0.500 (multiplicity 1)
Bi: 0.500 0.500 0.500 (multiplicity 1)
Cl: 0.000 0.500 0.000 (multiplicity 2)

Output
V = 175 Å³ per cell
mass density = 4.50 g/cm3
formation energy without anion corrections = -0.21 eV/atom

# 8
DFT (GGA-PBE) results for a geometry-optimized Cs2Cd2Cl structure.

a b c (Å): 7.383 7.383 9.694
angles (deg): 90.00 90.00 90.00
Space group I4/mmm (No. 139)
Unique sites:
Cs: 0.000 0.500 0.250 (multiplicity 4)
Cd: 0.000 0.000 0.159 (multiplicity 4)
Cl: 0.000 0.000 0.500 (multiplicity 2)

Output
V = 528 Å³ per cell
mass density = 3.31 g/cm3
formation energy without anion corrections = -0.41 eV/atom

# 9
DFT (GGA-PBE) results for a geometry-optimized LaCe2TmS4 structure.

a b c (Å): 6.969 3.997 6.974
angles (deg): 90.00 109.23 90.00
Space group P2/m (No. 10)
Unique sites:
La: 0.000 0.000 0.000 (multiplicity 1)
Ce: 0.500 0.000 0.500 (multiplicity 1)
Ce: 0.500 0.500 0.000 (multiplicity 1)
Tm: 0.000 0.500 0.500 (multiplicity 1)
S: 0.240 0.000 0.734 (multiplicity 2)
S: 0.249 0.500 0.263 (multiplicity 2)

Output
V = 183 Å³ per cell
mass density = 6.48 g/cm3
formation energy without anion corrections = -2.03 eV/atom

# 10
DFT (GGA-PBE) results for a geometry-optimized Ac2TlHg6 structure.

a b c (Å): 8.9688 8.9688 3.7691
angles (deg): 90.00 90.00 120.00
Space group P6/mmm (No. 191)
Unique sites:
Ac: 0.3333 0.6667 0.0000 (multiplicity 2)
Tl: 0.0000 0.0000 0.0000 (multiplicity 1)
Hg: 0.0000 0.3283 0.5000 (multiplicity 6)

Output
V = 263 Å³ per cell
total DFT energy (no corrections) = -1.6846 eV/atom
mass density = 11.78 g/cm3